No. 1
VASP calculation (PBE-GGA) on a relaxed LiCu5As2 crystal.

Unit cell a=4.1990 b=4.1990 c=5.9475 alpha=90.00 beta=90.00 gamma=90.00
Closest atoms and distances in Å follow each position.
Sites, in units of the cell vectors:
Li  0.0000  0.0000  0.0000  8 Cu 2.58
Cu  0.0000  0.5000  0.2532  2 Cu 2.56, 4 As 2.56-2.58, 2 Li 2.58
Cu  0.0000  0.5000  0.7468  2 Cu 2.56, 4 As 2.56-2.58, 2 Li 2.58
Cu  0.5000  0.0000  0.2532  2 Cu 2.56, 4 As 2.56-2.58, 2 Li 2.58
Cu  0.5000  0.0000  0.7468  2 Cu 2.56, 4 As 2.56-2.58, 2 Li 2.58
Cu  0.5000  0.5000  0.5000  8 Cu 2.56
As  0.0000  0.0000  0.5000  8 Cu 2.56
As  0.5000  0.5000  0.0000  8 Cu 2.58

Summary:
space group: P4/mmm


No. 2
VASP calculation (PBE-GGA) on a relaxed HoLuSnC crystal.

Unit cell a=3.5659 b=3.5659 c=15.6102 alpha=90.00 beta=90.00 gamma=120.00
Closest atoms and distances in Å follow each position.
Sites, in units of the cell vectors:
Ho  0.3333  0.6667  0.0000  3 C 2.45
Ho  0.6667  0.3333  0.5000  3 C 2.45
Lu  0.3333  0.6667  0.3320  3 C 2.43
Lu  0.6667  0.3333  0.8320  3 C 2.43
Sn  0.3333  0.6667  0.6676  3 Lu 3.29, 3 Ho 3.33, 6 Sn 3.57
Sn  0.6667  0.3333  0.1676  3 Lu 3.29, 3 Ho 3.33, 6 Sn 3.57
C  0.0000  0.0000  0.4143  3 Lu 2.43, 3 Ho 2.45
C  0.0000  0.0000  0.9143  3 Lu 2.43, 3 Ho 2.45

Summary:
size of the total moment: 0.0 μB per formula unit
space group: P6_3mc


No. 3
VASP calculation (PBE-GGA) on a relaxed PuGeSe4 crystal.

Unit cell a=8.3805 b=8.3805 c=10.8295 alpha=90.00 beta=90.00 gamma=152.99
Closest atoms and distances in Å follow each position.
Sites, in units of the cell vectors:
Pu  0.1588  0.8412  0.5000  7 Se 2.85-2.93, 1 Ge 3.12
Pu  0.8412  0.1588  0.0000  7 Se 2.85-2.93, 1 Ge 3.12
Ge  0.2790  0.7210  0.2753  3 Se 2.49-2.57
Ge  0.7210  0.2790  0.7753  3 Se 2.49-2.57
Se  0.1195  0.8805  0.7572  2 Ge 2.57, 1 Pu 2.86
Se  0.2207  0.7793  0.0626  1 Ge 2.49
Se  0.3982  0.6018  0.8181  1 Se 2.36
Se  0.4703  0.5297  0.0069  1 Se 2.36
Se  0.5297  0.4703  0.5069  1 Se 2.36
Se  0.6018  0.3982  0.3181  1 Se 2.36
Se  0.7793  0.2207  0.5626  1 Ge 2.49
Se  0.8805  0.1195  0.2572  2 Ge 2.57, 1 Pu 2.86

Summary:
size of the total moment: 4.0 μB per formula unit
space group: Cmc2_1


No. 4
VASP calculation (PBE-GGA) on a relaxed Na2ErAs2 crystal.

Unit cell a=8.2987 b=6.7989 c=10.0610 alpha=54.94 beta=42.12 gamma=82.94
Closest atoms and distances in Å follow each position.
Sites, in units of the cell vectors:
Na  0.2376  0.7624  0.3418  4 As 2.91-3.16, 2 Na 3.19
Na  0.5918  0.9082  0.4876  4 As 2.91-3.16, 2 Na 3.19
Na  0.7624  0.2376  0.6582  4 As 2.91-3.16, 2 Na 3.19
Na  0.9082  0.5918  0.0124  4 As 2.91-3.16, 2 Na 3.19
Er  0.2573  0.2573  0.7427  4 As 2.71-2.79
Er  0.5073  0.5073  0.9927  4 As 2.71-2.79
As  0.1981  0.2646  0.0508  2 Er 2.71-2.79, 1 Na 2.91
As  0.1992  0.7635  0.0519  2 Er 2.71-2.79, 1 Na 2.91
As  0.2646  0.1981  0.4865  2 Er 2.71-2.79, 1 Na 2.91
As  0.7635  0.1992  0.9854  2 Er 2.71-2.79, 1 Na 2.91

Summary:
size of the total moment: 0.0 μB per formula unit
space group: Fdd2


No. 5
VASP calculation (PBE-GGA) on a relaxed TbTe2 crystal.

Unit cell a=6.3599 b=6.3599 c=6.3599 alpha=60.00 beta=60.00 gamma=60.00
Closest atoms and distances in Å follow each position.
Sites, in units of the cell vectors:
Tb  0.1250  0.1250  0.1250  12 Te 3.73, 4 Tb 3.89
Tb  0.8750  0.8750  0.8750  12 Te 3.73, 4 Tb 3.89
Te  0.0000  0.5000  0.5000  6 Te 3.18
Te  0.5000  0.0000  0.5000  6 Te 3.18
Te  0.5000  0.5000  0.0000  6 Te 3.18
Te  0.5000  0.5000  0.5000  6 Te 3.18

Summary:
size of the total moment: 0.4 μB per formula unit
space group: Fd-3m


No. 6
VASP calculation (PBE-GGA) on a relaxed BeMoIrAu crystal.

Unit cell a=4.3373 b=4.3373 c=4.3373 alpha=60.00 beta=60.00 gamma=60.00
Closest atoms and distances in Å follow each position.
Sites, in units of the cell vectors:
Be  0.0000  0.0000  0.0000  4 Ir 2.66, 4 Mo 2.66
Mo  0.2500  0.2500  0.2500  4 Au 2.66, 4 Be 2.66
Ir  0.7500  0.7500  0.7500  4 Au 2.66, 4 Be 2.66
Au  0.5000  0.5000  0.5000  4 Mo 2.66, 4 Ir 2.66

Summary:
size of the total moment: 0.0 μB per formula unit
energy relative to the lowest polymorph listed for this composition: 137 meV per atom
space group: F-43m


No. 7
VASP calculation (PBE-GGA) on a relaxed GdCuPbSe2S crystal.

Unit cell a=7.0627 b=7.0627 c=10.3502 alpha=90.00 beta=90.00 gamma=146.81
Closest atoms and distances in Å follow each position.
Sites, in units of the cell vectors:
Gd  0.0000  0.0000  0.0000  2 S 2.76, 4 Se 2.89
Gd  0.0000  0.0000  0.5000  2 S 2.76, 4 Se 2.89
Cu  0.4733  0.5267  0.7500  2 S 2.41, 2 Se 2.48
Cu  0.5267  0.4733  0.2500  2 S 2.41, 2 Se 2.48
Pb  0.2552  0.7448  0.2500  2 S 3.10, 4 Se 3.15
Pb  0.7448  0.2552  0.7500  2 S 3.10, 4 Se 3.15
Se  0.3558  0.6442  0.5663  1 Cu 2.48
Se  0.3558  0.6442  0.9337  1 Cu 2.48
Se  0.6442  0.3558  0.0663  1 Cu 2.48
Se  0.6442  0.3558  0.4337  1 Cu 2.48
S  0.0710  0.9290  0.7500  2 Cu 2.41
S  0.9290  0.0710  0.2500  2 Cu 2.41

Summary:
size of the total moment: 0.0 μB per formula unit
space group: Cmcm


No. 8
VASP calculation (PBE-GGA) on a relaxed LaAl4Ag8 crystal.

Unit cell a=7.1777 b=7.1777 c=7.1777 alpha=98.05 beta=98.05 gamma=136.05
Closest atoms and distances in Å follow each position.
Sites, in units of the cell vectors:
La  0.0000  0.0000  0.0000  12 Ag 3.25-3.39, 8 Al 3.59
Al  0.0000  0.0000  0.5000  2 Al 2.69, 8 Ag 2.73-2.86
Al  0.0000  0.5000  0.0000  2 Al 2.69, 8 Ag 2.73-2.86
Al  0.5000  0.0000  0.0000  2 Al 2.69, 8 Ag 2.73-2.86
Al  0.5000  0.5000  0.5000  2 Al 2.69, 8 Ag 2.73-2.86
Ag  0.0000  0.3458  0.3458  4 Al 2.86, 5 Ag 2.90-3.02
Ag  0.0000  0.6542  0.6542  4 Al 2.86, 5 Ag 2.90-3.02
Ag  0.2809  0.5000  0.7809  4 Al 2.73, 6 Ag 2.92-3.02
Ag  0.3458  0.0000  0.3458  4 Al 2.86, 5 Ag 2.90-3.02
Ag  0.5000  0.2809  0.7809  4 Al 2.73, 6 Ag 2.92-3.02
Ag  0.5000  0.7191  0.2191  4 Al 2.73, 6 Ag 2.92-3.02
Ag  0.6542  0.0000  0.6542  4 Al 2.86, 5 Ag 2.90-3.02
Ag  0.7191  0.5000  0.2191  4 Al 2.73, 6 Ag 2.92-3.02

Summary:
size of the total moment: 0.0 μB per formula unit
space group: I4/mmm


No. 9
VASP calculation (PBE-GGA) on a relaxed PrGeMo crystal.

Unit cell a=4.6532 b=4.6532 c=4.6532 alpha=60.00 beta=60.00 gamma=60.00
Closest atoms and distances in Å follow each position.
Sites, in units of the cell vectors:
Pr  0.0000  0.0000  0.0000  4 Ge 2.85
Ge  0.7500  0.7500  0.7500  4 Mo 2.85, 4 Pr 2.85
Mo  0.5000  0.5000  0.5000  4 Ge 2.85

Summary:
size of the total moment: 0.5 μB per formula unit
space group: F-43m


No. 10
VASP calculation (PBE-GGA) on a relaxed TmLuTe3Pb crystal.

Unit cell a=7.9658 b=7.9658 c=11.8064 alpha=90.00 beta=90.00 gamma=148.69
Closest atoms and distances in Å follow each position.
Sites, in units of the cell vectors:
Tm  0.0000  0.0000  0.0000  6 Te 3.07-3.19
Tm  0.0000  0.0000  0.5000  6 Te 3.07-3.19
Lu  0.4482  0.5518  0.7500  4 Te 2.93-2.94
Lu  0.5518  0.4482  0.2500  4 Te 2.93-2.94
Te  0.0788  0.9212  0.7500  2 Lu 2.94, 2 Tm 3.19
Te  0.3589  0.6411  0.5303  1 Lu 2.93, 2 Tm 3.07
Te  0.3589  0.6411  0.9697  1 Lu 2.93, 2 Tm 3.07
Te  0.6411  0.3589  0.0303  1 Lu 2.93, 2 Tm 3.07
Te  0.6411  0.3589  0.4697  1 Lu 2.93, 2 Tm 3.07
Te  0.9212  0.0788  0.2500  2 Lu 2.94, 2 Tm 3.19
Pb  0.2181  0.7819  0.2500  2 Lu 3.34, 4 Te 3.57
Pb  0.7819  0.2181  0.7500  2 Lu 3.34, 4 Te 3.57

Summary:
size of the total moment: 0.0 μB per formula unit
energy relative to the lowest polymorph listed for this composition: 0 meV per atom
space group: Cmcm


No. 11
VASP calculation (PBE-GGA) on a relaxed MoI2 crystal.

Unit cell a=20.7993 b=20.7993 c=20.7993 alpha=11.08 beta=11.08 gamma=11.08
Closest atoms and distances in Å follow each position.
Sites, in units of the cell vectors:
Mo  0.0000  0.0000  0.0000  6 I 2.82
Mo  0.4445  0.4445  0.4445  6 I 2.81-2.82
Mo  0.5555  0.5555  0.5555  6 I 2.81-2.82
I  0.1369  0.1369  0.1369  3 Mo 2.81
I  0.2480  0.2480  0.2480  3 Mo 2.82
I  0.3591  0.3591  0.3591  3 Mo 2.82
I  0.6409  0.6409  0.6409  3 Mo 2.82
I  0.7520  0.7520  0.7520  3 Mo 2.82
I  0.8631  0.8631  0.8631  3 Mo 2.81

Summary:
size of the total moment: 2.0 μB per formula unit
energy relative to the lowest polymorph listed for this composition: 595 meV per atom
space group: R-3m


No. 12
VASP calculation (PBE-GGA) on a relaxed CoTcBiIr crystal.

Unit cell a=4.5010 b=4.5010 c=4.5010 alpha=60.00 beta=60.00 gamma=60.00
Closest atoms and distances in Å follow each position.
Sites, in units of the cell vectors:
Co  0.0000  0.0000  0.0000  4 Bi 2.76, 4 Ir 2.76
Tc  0.5000  0.5000  0.5000  4 Bi 2.76, 4 Ir 2.76
Bi  0.7500  0.7500  0.7500  4 Tc 2.76, 4 Co 2.76
Ir  0.2500  0.2500  0.2500  4 Tc 2.76, 4 Co 2.76

Summary:
size of the total moment: 1.7 μB per formula unit
energy relative to the lowest polymorph listed for this composition: 0 meV per atom
space group: F-43m


No. 13
VASP calculation (PBE-GGA) on a relaxed CuTcHgBi crystal.

Unit cell a=4.8476 b=4.8476 c=4.8476 alpha=60.00 beta=60.00 gamma=60.00
Closest atoms and distances in Å follow each position.
Sites, in units of the cell vectors:
Cu  0.0000  0.0000  0.0000  4 Tc 2.97, 4 Bi 2.97
Tc  0.7500  0.7500  0.7500  4 Hg 2.97, 4 Cu 2.97
Hg  0.5000  0.5000  0.5000  4 Tc 2.97, 4 Bi 2.97
Bi  0.2500  0.2500  0.2500  4 Hg 2.97, 4 Cu 2.97

Summary:
size of the total moment: 2.2 μB per formula unit
energy relative to the lowest polymorph listed for this composition: 219 meV per atom
space group: F-43m


No. 14
VASP calculation (PBE-GGA) on a relaxed TlZnAsO crystal.

Unit cell a=4.0052 b=4.0052 c=9.1806 alpha=90.00 beta=90.00 gamma=90.00
Closest atoms and distances in Å follow each position.
Sites, in units of the cell vectors:
Tl  0.2500  0.2500  0.1237  4 O 2.30
Tl  0.7500  0.7500  0.8763  4 O 2.30
Zn  0.2500  0.7500  0.5000  4 As 2.58, 4 Zn 2.83
Zn  0.7500  0.2500  0.5000  4 As 2.58, 4 Zn 2.83
As  0.2500  0.2500  0.6774  4 Zn 2.58
As  0.7500  0.7500  0.3226  4 Zn 2.58
O  0.2500  0.7500  0.0000  4 Tl 2.30
O  0.7500  0.2500  0.0000  4 Tl 2.30

Summary:
energy relative to the lowest polymorph listed for this composition: 265 meV per atom
space group: P4/nmm


No. 15
VASP calculation (PBE-GGA) on a relaxed BaSmPO crystal.

Unit cell a=4.5143 b=4.5143 c=9.3648 alpha=90.00 beta=90.00 gamma=90.00
Closest atoms and distances in Å follow each position.
Sites, in units of the cell vectors:
Ba  0.2500  0.7500  0.0000  4 P 3.09, 4 Ba 3.19
Ba  0.7500  0.2500  0.0000  4 P 3.09, 4 Ba 3.19
Sm  0.2500  0.2500  0.4137  4 O 2.40
Sm  0.7500  0.7500  0.5863  4 O 2.40
P  0.2500  0.2500  0.7753  4 Ba 3.09, 1 Sm 3.39, 4 O 3.43
P  0.7500  0.7500  0.2247  4 Ba 3.09, 1 Sm 3.39, 4 O 3.43
O  0.2500  0.7500  0.5000  4 Sm 2.40
O  0.7500  0.2500  0.5000  4 Sm 2.40

Summary:
size of the total moment: 0.0 μB per formula unit
energy relative to the lowest polymorph listed for this composition: 448 meV per atom
space group: P4/nmm


No. 16
VASP calculation (PBE-GGA) on a relaxed CsBeHg crystal.

Unit cell a=5.5069 b=5.5069 c=5.5069 alpha=60.00 beta=60.00 gamma=60.00
Closest atoms and distances in Å follow each position.
Sites, in units of the cell vectors:
Cs  0.0000  0.0000  0.0000  4 Be 3.37
Be  0.2500  0.2500  0.2500  4 Hg 3.37, 4 Cs 3.37
Hg  0.5000  0.5000  0.5000  4 Be 3.37

Summary:
energy relative to the lowest polymorph listed for this composition: 0 meV per atom
space group: F-43m


No. 17
VASP calculation (PBE-GGA) on a relaxed HgPbSO crystal.

Unit cell a=6.9205 b=6.9205 c=6.3385 alpha=90.00 beta=90.00 gamma=147.73
Closest atoms and distances in Å follow each position.
Sites, in units of the cell vectors:
Hg  0.1386  0.8614  0.7500  2 O 2.43, 2 S 2.49
Hg  0.8614  0.1386  0.2500  2 O 2.43, 2 S 2.49
Pb  0.4245  0.5755  0.7500  4 O 2.69, 2 S 2.94
Pb  0.5755  0.4245  0.2500  4 O 2.69, 2 S 2.94
S  0.2427  0.7573  0.2500  2 Hg 2.49
S  0.7573  0.2427  0.7500  2 Hg 2.49
O  0.0000  0.0000  0.0000  2 Hg 2.43, 4 Pb 2.69
O  0.0000  0.0000  0.5000  2 Hg 2.43, 4 Pb 2.69

Summary:
energy relative to the lowest polymorph listed for this composition: 209 meV per atom
space group: Cmcm


No. 18
VASP calculation (PBE-GGA) on a relaxed HfBeNiBi crystal.

Unit cell a=4.5941 b=4.5941 c=4.5941 alpha=60.00 beta=60.00 gamma=60.00
Closest atoms and distances in Å follow each position.
Sites, in units of the cell vectors:
Hf  0.0000  0.0000  0.0000  4 Ni 2.81, 4 Be 2.81
Be  0.2500  0.2500  0.2500  4 Bi 2.81, 4 Hf 2.81
Ni  0.7500  0.7500  0.7500  4 Bi 2.81, 4 Hf 2.81
Bi  0.5000  0.5000  0.5000  4 Be 2.81, 4 Ni 2.81

Summary:
size of the total moment: 0.0 μB per formula unit
energy relative to the lowest polymorph listed for this composition: 0 meV per atom
space group: F-43m


No. 19
VASP calculation (PBE-GGA) on a relaxed Hf4Tl3Mo2N3 crystal.

Unit cell a=5.6390 b=5.6390 c=14.7014 alpha=100.58 beta=100.58 gamma=60.14
Closest atoms and distances in Å follow each position.
Sites, in units of the cell vectors:
Hf  0.0102  0.2087  0.0824  3 N 2.19-2.20
Hf  0.1558  0.3056  0.4179  3 N 2.18-2.19
Hf  0.2087  0.0102  0.5824  3 N 2.19-2.20
Hf  0.3056  0.1558  0.9179  3 N 2.18-2.19
Hf  0.6944  0.8442  0.0821  3 N 2.18-2.19
Hf  0.7913  0.9898  0.4176  3 N 2.19-2.20
Hf  0.8442  0.6944  0.5821  3 N 2.18-2.19
Hf  0.9898  0.7913  0.9176  3 N 2.19-2.20
Tl  0.0956  0.9044  0.2500  4 Hf 3.09-3.12, 2 Mo 3.12, 6 Tl 3.13-3.33
Tl  0.2634  0.4135  0.7451  2 Mo 3.04, 4 Hf 3.07-3.09, 6 Tl 3.13-3.33
Tl  0.4135  0.2634  0.2451  2 Mo 3.04, 4 Hf 3.07-3.09, 6 Tl 3.13-3.33
Tl  0.5865  0.7366  0.7549  2 Mo 3.04, 4 Hf 3.07-3.09, 6 Tl 3.13-3.33
Tl  0.7366  0.5865  0.2549  2 Mo 3.04, 4 Hf 3.07-3.09, 6 Tl 3.13-3.33
Tl  0.9044  0.0956  0.7500  4 Hf 3.09-3.12, 2 Mo 3.12, 6 Tl 3.13-3.33
Mo  0.3880  0.5250  0.0774  3 N 2.22-2.33
Mo  0.4750  0.6120  0.4226  3 N 2.22-2.33
Mo  0.5250  0.3880  0.5774  3 N 2.22-2.33
Mo  0.6120  0.4750  0.9226  3 N 2.22-2.33
N  0.0000  0.5000  0.0000  4 Hf 2.18-2.19, 2 Mo 2.33
N  0.1392  0.6797  0.4996  4 Hf 2.19-2.20, 2 Mo 2.22-2.23
N  0.3203  0.8608  0.0004  4 Hf 2.19-2.20, 2 Mo 2.22-2.23
N  0.5000  0.0000  0.5000  4 Hf 2.18-2.19, 2 Mo 2.33
N  0.6797  0.1392  0.9996  4 Hf 2.19-2.20, 2 Mo 2.22-2.23
N  0.8608  0.3203  0.5004  4 Hf 2.19-2.20, 2 Mo 2.22-2.23

Summary:
size of the total moment: 0.0 μB per formula unit
space group: C2/c


No. 20
VASP calculation (PBE-GGA) on a relaxed Dy3As2N crystal.

Unit cell a=3.8467 b=3.8467 c=9.7710 alpha=90.00 beta=90.00 gamma=120.00
Closest atoms and distances in Å follow each position.
Sites, in units of the cell vectors:
Dy  0.0000  0.0000  0.0000  6 As 2.84
Dy  0.3333  0.6667  0.6354  3 N 2.59, 3 As 2.86
Dy  0.6667  0.3333  0.3646  3 N 2.59, 3 As 2.86
As  0.3333  0.6667  0.1806  6 Dy 2.84-2.86
As  0.6667  0.3333  0.8194  6 Dy 2.84-2.86
N  0.0000  0.0000  0.5000  6 Dy 2.59

Summary:
size of the total moment: 0.0 μB per formula unit
space group: P-3m1


What uncorrected energy values result from the calculations? In sequence: -3.754 -6.167 -6.182 -3.841 -3.621 -6.382 -4.910 -3.497 -6.484 -4.524 -4.423 -7.047 -3.760 -3.472 -5.786 -0.855 -3.580 -5.570 -8.392 -6.651 eV/atom.